Entry 1:
Material: KLaNi
Method: DFT, PBE
State: optimized geometry

Cell lengths 5.049, 5.049, 5.049 Å; angles 60.00, 60.00, 60.00 degrees
Fractional positions:
Ni 0.000 0.000 0.000
K 0.250 0.250 0.250
La 0.750 0.750 0.750

Calculated values
magnetization	0.000	μB per atom
SG	F-43m
theoretical density	4.3	Mg/m³
energy	-3.449	eV/atom

=====

Entry 2:
Material: KLaNiSe3
Method: DFT, PBE
State: optimized geometry

Cell lengths 8.823, 8.823, 8.739 Å; angles 103.25, 103.25, 29.29 degrees
Each line ends with the local moment (μB).
Fractional positions:
K 0.862 0.862 0.423  0.00
K 0.138 0.138 0.577  0.00
Se 0.349 0.349 0.142  0.01
Se 0.644 0.644 0.308  0.01
Se 0.500 0.500 0.500  0.12
Se 0.356 0.356 0.692  0.01
Se 0.000 0.000 0.000  0.10
Se 0.651 0.651 0.858  0.01
Ni 0.501 0.501 0.791  0.49
Ni 0.499 0.499 0.209  0.49
La 0.830 0.830 0.897  0.01
La 0.170 0.170 0.103  0.01

Calculated values
magnetization	0.113	μB per atom
SG	C2/m
theoretical density	4.9	Mg/m³
energy	-4.728	eV/atom

=====

Entry 3:
Material: KLaNiSe3
Method: DFT, PBE
State: optimized geometry

Cell lengths 8.705, 4.201, 10.407 Å; angles 90.00, 106.47, 90.00 degrees
Each line ends with the local moment (μB).
Fractional positions:
K 0.749 0.750 0.713  0.00
K 0.251 0.250 0.287  0.00
Ni 0.928 0.750 0.413  0.76
Ni 0.072 0.250 0.587  0.76
Se 0.545 0.250 0.845  0.01
Se 0.945 0.750 0.185  0.11
Se 0.055 0.250 0.815  0.11
Se 0.455 0.750 0.155  0.01
Se 0.193 0.750 0.550  0.15
Se 0.807 0.250 0.450  0.15
La 0.696 0.250 0.138  0.02
La 0.304 0.750 0.862  0.02

Calculated values
magnetization	0.212	μB per atom
SG	P2_1/m
theoretical density	4.3	Mg/m³
energy	-4.878	eV/atom

=====

Entry 4:
Material: KLaNp
Method: DFT, PBE
State: optimized geometry

Cell lengths 5.680, 5.680, 5.680 Å; angles 60.00, 60.00, 60.00 degrees
Each line ends with the local moment (μB).
Fractional positions:
Np 0.750 0.750 0.750  4.72
K 0.000 0.000 0.000  0.09
La 0.250 0.250 0.250  0.59

Calculated values
magnetization	2.425	μB per atom
SG	F-43m
theoretical density	5.3	Mg/m³
energy	-4.582	eV/atom

=====

Entry 5:
Material: K2La2Re3O10
Method: DFT, PBE
State: optimized geometry

Cell lengths 14.971, 14.971, 14.971 Å; angles 164.78, 164.78, 21.59 degrees
Each line ends with the local moment (μB).
Fractional positions:
O 0.128 0.628 0.500  0.07
O 0.500 0.000 0.500  -0.01
O 0.068 0.068 0.000  -0.01
O 0.202 0.202 0.000  0.19
O 0.932 0.932 0.000  -0.01
O 0.798 0.798 0.000  0.19
O 0.372 0.872 0.500  0.04
O 0.628 0.128 0.500  0.04
O 0.000 0.500 0.500  -0.03
O 0.872 0.372 0.500  0.07
K 0.709 0.709 0.000  0.01
K 0.291 0.291 0.000  0.01
Re 0.138 0.138 0.000  1.38
Re 0.000 0.000 0.000  -0.48
Re 0.862 0.862 0.000  1.38
La 0.428 0.428 0.000  0.04
La 0.572 0.572 0.000  0.04

Calculated values
magnetization	0.187	μB per atom
SG	I4/mmm
theoretical density	7.7	Mg/m³
energy	-7.741	eV/atom

=====

Entry 6:
Material: KLaZnO3
Method: DFT, PBE
State: optimized geometry

Cell lengths 6.076, 6.076, 9.788 Å; angles 90.00, 90.00, 144.91 degrees
Fractional positions:
O 0.383 0.617 0.925
O 0.617 0.383 0.075
O 0.383 0.617 0.575
O 0.949 0.051 0.250
O 0.051 0.949 0.750
O 0.617 0.383 0.425
K 0.265 0.735 0.250
K 0.735 0.265 0.750
La 0.000 0.000 0.500
La 0.000 0.000 0.000
Zn 0.458 0.542 0.750
Zn 0.542 0.458 0.250

Calculated values
magnetization	0.000	μB per atom
SG	Cmcm
theoretical density	4.7	Mg/m³
energy	-5.859	eV/atom

=====

Entry 7:
Material: KLaOsSe4
Method: DFT, PBE
State: optimized geometry

Cell lengths 6.868, 6.899, 9.236 Å; angles 90.00, 109.01, 90.00 degrees
Fractional positions:
Os 0.760 0.998 0.676
Os 0.240 0.498 0.324
K 0.251 0.013 0.063
K 0.749 0.513 0.937
Se 0.579 0.040 0.851
Se 0.583 0.099 0.419
Se 0.421 0.540 0.149
Se 0.013 0.254 0.726
Se 0.979 0.259 0.272
Se 0.021 0.759 0.728
Se 0.417 0.599 0.581
Se 0.987 0.754 0.274
La 0.770 0.513 0.457
La 0.230 0.013 0.543

Calculated values
magnetization	0.002	μB per atom
SG	P2_1
theoretical density	5.5	Mg/m³
energy	-5.334	eV/atom

=====

Entry 8:
Material: KLaPa
Method: DFT, PBE
State: optimized geometry

Cell lengths 5.439, 5.439, 5.439 Å; angles 60.00, 60.00, 60.00 degrees
Fractional positions:
K 0.250 0.250 0.250
La 0.000 0.000 0.000
Pa 0.750 0.750 0.750

Calculated values
magnetization	0.510	μB per atom
SG	F-43m
theoretical density	6.0	Mg/m³
energy	-3.566	eV/atom